LaTb15In4 | PBE | relaxed

Output
Calculated total energy, eV per atom: -4.464
Space-group type: P4/mmm, No. 123
Fermi-level density of states, states/eV/f.u.: 30.30

Lattice parameters (Å, degrees): 4.8728 4.8728 24.9455 90.00 90.00 90.00
Closest atoms and distances in Å follow each position.
Fractional coordinates of all 20 atoms:
La (0.0000, 0.0000, 0.0000)  12 Tb 3.45-3.64
Tb (0.0000, 0.5000, 0.1083)  8 Tb 3.45-3.64, 2 In 3.48, 2 La 3.64
Tb (0.0000, 0.5000, 0.3046)  8 Tb 3.43-3.45, 4 In 3.43-3.45
Tb (0.0000, 0.5000, 0.5000)  4 In 3.44, 8 Tb 3.45
Tb (0.0000, 0.5000, 0.6954)  8 Tb 3.43-3.45, 4 In 3.43-3.45
Tb (0.0000, 0.5000, 0.8917)  8 Tb 3.45-3.64, 2 In 3.48, 2 La 3.64
Tb (0.5000, 0.0000, 0.1083)  8 Tb 3.45-3.64, 2 In 3.48, 2 La 3.64
Tb (0.5000, 0.0000, 0.3046)  8 Tb 3.43-3.45, 4 In 3.43-3.45
Tb (0.5000, 0.0000, 0.5000)  4 In 3.44, 8 Tb 3.45
Tb (0.5000, 0.0000, 0.6954)  8 Tb 3.43-3.45, 4 In 3.43-3.45
Tb (0.5000, 0.0000, 0.8917)  8 Tb 3.45-3.64, 2 In 3.48, 2 La 3.64
Tb (0.5000, 0.5000, 0.0000)  4 La 3.45, 8 Tb 3.64
Tb (0.5000, 0.5000, 0.2077)  8 Tb 3.43-3.48, 4 In 3.45
Tb (0.5000, 0.5000, 0.4024)  8 Tb 3.45, 4 In 3.45
Tb (0.5000, 0.5000, 0.5976)  8 Tb 3.45, 4 In 3.45
Tb (0.5000, 0.5000, 0.7923)  8 Tb 3.43-3.48, 4 In 3.45
In (0.0000, 0.0000, 0.2077)  12 Tb 3.43-3.48
In (0.0000, 0.0000, 0.4028)  12 Tb 3.44-3.45
In (0.0000, 0.0000, 0.5972)  12 Tb 3.44-3.45
In (0.0000, 0.0000, 0.7923)  12 Tb 3.43-3.48